## CsKZnCl4 (PBE)

Data for a geometry-optimized CsKZnCl4 structure.

DOS(E_F): 0.00 states/eV/cell
space group: P2_1/m
formation energy (no corrections): -11.78 eV/f.u.
total DFT energy (no corrections): -3.199 eV per atom

Unit cell a=7.2428 b=7.3181 c=9.4760 alpha=90.00 beta=108.64 gamma=90.00
Fractional coordinates of all 14 atoms:
Cs (0.2145, 0.2500, 0.4268)
Cs (0.7855, 0.7500, 0.5732)
K (0.2812, 0.2500, 0.9525)
K (0.7188, 0.7500, 0.0475)
Zn (0.2825, 0.7500, 0.1889)
Zn (0.7175, 0.2500, 0.8111)
Cl (0.0937, 0.7500, 0.3428)
Cl (0.0973, 0.7500, 0.9447)
Cl (0.4918, 0.5048, 0.2387)
Cl (0.4918, 0.9952, 0.2387)
Cl (0.5082, 0.0048, 0.7613)
Cl (0.5082, 0.4952, 0.7613)
Cl (0.9027, 0.2500, 0.0553)
Cl (0.9063, 0.2500, 0.6572)

***

## CsKZrCl6 (PBE)

Data for a geometry-optimized CsKZrCl6 structure.

DOS(E_F): 0.00 states/eV/cell
space group: P-31c
formation energy (no corrections): -17.50 eV/f.u.
total DFT energy (no corrections): -4.342 eV per atom

Unit cell a=7.6808 b=7.6808 c=13.9449 alpha=90.00 beta=90.00 gamma=120.00
Fractional coordinates of all 18 atoms:
Cs (0.0000, 0.0000, 0.0000)
Cs (0.0000, 0.0000, 0.5000)
K (0.3333, 0.6667, 0.2500)
K (0.6667, 0.3333, 0.7500)
Zr (0.3333, 0.6667, 0.7500)
Zr (0.6667, 0.3333, 0.2500)
Cl (0.0639, 0.4056, 0.6463)
Cl (0.0639, 0.6583, 0.8537)
Cl (0.3417, 0.4056, 0.8537)
Cl (0.3417, 0.9361, 0.6463)
Cl (0.4056, 0.0639, 0.1463)
Cl (0.4056, 0.3417, 0.3537)
Cl (0.5944, 0.6583, 0.6463)
Cl (0.5944, 0.9361, 0.8537)
Cl (0.6583, 0.0639, 0.3537)
Cl (0.6583, 0.5944, 0.1463)
Cl (0.9361, 0.3417, 0.1463)
Cl (0.9361, 0.5944, 0.3537)

***

## CsK2ZrCl8 (PBE)

Data for a geometry-optimized CsK2ZrCl8 structure.

DOS(E_F): 1.51 states/eV/cell
space group: P-1
formation energy (no corrections): -21.12 eV/f.u.
total DFT energy (no corrections): -3.957 eV per atom

Unit cell a=5.7215 b=7.1396 c=9.5499 alpha=89.72 beta=72.64 gamma=89.55
Fractional coordinates of all 12 atoms:
Cs (0.0000, 0.0000, 0.0000)
K (0.3487, 0.4975, 0.3070)
K (0.6513, 0.5025, 0.6930)
Zr (0.0000, 0.0000, 0.5000)
Cl (0.1809, 0.2484, 0.6163)
Cl (0.1872, 0.7474, 0.6125)
Cl (0.2458, 0.4999, 0.9996)
Cl (0.3521, 0.0037, 0.2699)
Cl (0.6479, 0.9963, 0.7301)
Cl (0.7542, 0.5001, 0.0004)
Cl (0.8128, 0.2526, 0.3875)
Cl (0.8191, 0.7516, 0.3837)

***

## Cs3LaCl6 (PBE)

Data for a geometry-optimized Cs3LaCl6 structure.

DOS(E_F): 0.00 states/eV/cell
space group: C2/c
formation energy (no corrections): -21.98 eV/f.u.
total DFT energy (no corrections): -4.055 eV per atom

Unit cell a=14.3594 b=14.3594 c=13.8264 alpha=99.53 beta=99.53 gamma=34.47
Fractional coordinates of all 40 atoms:
Cs (0.0250, 0.6451, 0.1938)
Cs (0.1633, 0.5318, 0.8542)
Cs (0.1818, 0.7104, 0.5601)
Cs (0.2896, 0.8182, 0.9399)
Cs (0.3549, 0.9750, 0.3062)
Cs (0.4682, 0.8367, 0.6458)
Cs (0.5318, 0.1633, 0.3542)
Cs (0.6451, 0.0250, 0.6938)
Cs (0.7104, 0.1818, 0.0601)
Cs (0.8182, 0.2896, 0.4399)
Cs (0.8367, 0.4682, 0.1458)
Cs (0.9750, 0.3549, 0.8062)
La (0.0000, 0.5000, 0.5000)
La (0.2015, 0.7985, 0.2500)
La (0.5000, 0.0000, 0.0000)
La (0.7985, 0.2015, 0.7500)
Cl (0.0182, 0.1054, 0.2086)
Cl (0.1054, 0.0182, 0.7086)
Cl (0.1342, 0.3659, 0.3141)
Cl (0.1473, 0.7419, 0.0615)
Cl (0.1481, 0.2092, 0.5320)
Cl (0.2092, 0.1481, 0.0320)
Cl (0.2581, 0.8527, 0.4385)
Cl (0.2755, 0.3852, 0.5754)
Cl (0.3585, 0.5198, 0.3219)
Cl (0.3659, 0.1342, 0.8141)
Cl (0.3852, 0.2755, 0.0754)
Cl (0.4802, 0.6415, 0.1781)
Cl (0.5198, 0.3585, 0.8219)
Cl (0.6148, 0.7245, 0.9246)
Cl (0.6341, 0.8658, 0.1859)
Cl (0.6415, 0.4802, 0.6781)
Cl (0.7245, 0.6148, 0.4246)
Cl (0.7419, 0.1473, 0.5615)
Cl (0.7908, 0.8519, 0.9680)
Cl (0.8519, 0.7908, 0.4680)
Cl (0.8527, 0.2581, 0.9385)
Cl (0.8658, 0.6341, 0.6859)
Cl (0.8946, 0.9818, 0.2914)
Cl (0.9818, 0.8946, 0.7914)

***

## Cs2LaCl4 (PBE)

Data for a geometry-optimized Cs2LaCl4 structure.

DOS(E_F): 10.37 states/eV/cell
space group: I4/mmm
formation energy (no corrections): -13.79 eV/f.u.
total DFT energy (no corrections): -3.974 eV per atom

Unit cell a=5.6681 b=5.6681 c=17.5016 alpha=90.00 beta=90.00 gamma=90.00
Fractional coordinates of all 14 atoms:
Cs (0.0000, 0.0000, 0.1397)
Cs (0.0000, 0.0000, 0.8603)
Cs (0.5000, 0.5000, 0.3603)
Cs (0.5000, 0.5000, 0.6397)
La (0.0000, 0.0000, 0.5000)
La (0.5000, 0.5000, 0.0000)
Cl (0.0000, 0.0000, 0.3363)
Cl (0.0000, 0.0000, 0.6637)
Cl (0.0000, 0.5000, 0.0000)
Cl (0.0000, 0.5000, 0.5000)
Cl (0.5000, 0.0000, 0.0000)
Cl (0.5000, 0.0000, 0.5000)
Cl (0.5000, 0.5000, 0.1637)
Cl (0.5000, 0.5000, 0.8363)

***

## CsLa4Cl12 (PBE)

Data for a geometry-optimized CsLa4Cl12 structure.

DOS(E_F): 16.06 states/eV/cell
space group: Immm
formation energy (no corrections): -38.31 eV/f.u.
total DFT energy (no corrections): -4.767 eV per atom

Unit cell a=9.7059 b=9.7059 c=9.7059 alpha=109.78 beta=109.54 gamma=109.10
Fractional coordinates of all 17 atoms:
Cs (0.0000, 0.0000, 0.0000)
La (0.0000, 0.0000, 0.5000)
La (0.0000, 0.5000, 0.0000)
La (0.5000, 0.0000, 0.0000)
La (0.5000, 0.5000, 0.5000)
Cl (0.0460, 0.2536, 0.7924)
Cl (0.2283, 0.2352, 0.4635)
Cl (0.2283, 0.7648, 0.9931)
Cl (0.2570, 0.5361, 0.2791)
Cl (0.2570, 0.9780, 0.7209)
Cl (0.4611, 0.2536, 0.2076)
Cl (0.5389, 0.7464, 0.7924)
Cl (0.7430, 0.0220, 0.2791)
Cl (0.7430, 0.4639, 0.7209)
Cl (0.7717, 0.2352, 0.0069)
Cl (0.7717, 0.7648, 0.5365)
Cl (0.9540, 0.7464, 0.2076)

***

## CsLa3Cl (PBE)

Data for a geometry-optimized CsLa3Cl structure.

DOS(E_F): 7.59 states/eV/cell
space group: Pm-3m
formation energy (no corrections): 4.11 eV/f.u.
total DFT energy (no corrections): -2.675 eV per atom

Unit cell a=5.9837 b=5.9837 c=5.9837 alpha=90.00 beta=90.00 gamma=90.00
Fractional coordinates of all 5 atoms:
Cs (0.0000, 0.0000, 0.0000)
La (0.0000, 0.0000, 0.5000)
La (0.0000, 0.5000, 0.0000)
La (0.5000, 0.0000, 0.0000)
Cl (0.5000, 0.5000, 0.5000)

***

## Cs2La2Cl7 (PBE)

Data for a geometry-optimized Cs2La2Cl7 structure.

DOS(E_F): 7.76 states/eV/cell
space group: Cmmm
formation energy (no corrections): -23.52 eV/f.u.
total DFT energy (no corrections): -4.364 eV per atom

Unit cell a=7.0903 b=7.0903 c=8.0163 alpha=90.00 beta=90.00 gamma=98.31
Fractional coordinates of all 11 atoms:
Cs (0.2313, 0.2313, 0.0000)
Cs (0.7687, 0.7687, 0.0000)
La (0.2772, 0.7228, 0.5000)
La (0.7228, 0.2772, 0.5000)
Cl (0.0000, 0.0000, 0.5000)
Cl (0.0000, 0.5000, 0.2753)
Cl (0.0000, 0.5000, 0.7247)
Cl (0.5000, 0.0000, 0.2753)
Cl (0.5000, 0.0000, 0.7247)
Cl (0.5000, 0.5000, 0.2895)
Cl (0.5000, 0.5000, 0.7105)

***

## CsLa3Cl (PBE)

Data for a geometry-optimized CsLa3Cl structure.

DOS(E_F): 7.62 states/eV/cell
space group: Pm-3m
formation energy (no corrections): -1.06 eV/f.u.
total DFT energy (no corrections): -3.709 eV per atom

Unit cell a=5.7482 b=5.7482 c=5.7482 alpha=90.00 beta=90.00 gamma=90.00
Fractional coordinates of all 5 atoms:
Cs (0.0000, 0.0000, 0.0000)
La (0.0000, 0.5000, 0.5000)
La (0.5000, 0.0000, 0.5000)
La (0.5000, 0.5000, 0.0000)
Cl (0.5000, 0.5000, 0.5000)

***

## CsLa2Cl (PBE)

Data for a geometry-optimized CsLa2Cl structure.

DOS(E_F): 26.09 states/eV/cell
space group: Fm-3m
formation energy (no corrections): 0.85 eV/f.u.
total DFT energy (no corrections): -2.925 eV per atom

Unit cell a=8.1266 b=8.1266 c=8.1266 alpha=90.00 beta=90.00 gamma=90.00
Fractional coordinates of all 16 atoms:
Cs (0.0000, 0.0000, 0.0000)
Cs (0.0000, 0.5000, 0.5000)
Cs (0.5000, 0.0000, 0.5000)
Cs (0.5000, 0.5000, 0.0000)
La (0.2500, 0.2500, 0.2500)
La (0.2500, 0.2500, 0.7500)
La (0.2500, 0.7500, 0.2500)
La (0.2500, 0.7500, 0.7500)
La (0.7500, 0.2500, 0.2500)
La (0.7500, 0.2500, 0.7500)
La (0.7500, 0.7500, 0.2500)
La (0.7500, 0.7500, 0.7500)
Cl (0.0000, 0.0000, 0.5000)
Cl (0.0000, 0.5000, 0.0000)
Cl (0.5000, 0.0000, 0.0000)
Cl (0.5000, 0.5000, 0.5000)

***

## Cs3LaCl (PBE)

Data for a geometry-optimized Cs3LaCl structure.

DOS(E_F): 3.71 states/eV/cell
space group: Pm-3m
formation energy (no corrections): 1.11 eV/f.u.
total DFT energy (no corrections): -1.644 eV per atom

Unit cell a=7.1374 b=7.1374 c=7.1374 alpha=90.00 beta=90.00 gamma=90.00
Fractional coordinates of all 5 atoms:
Cs (0.0000, 0.0000, 0.5000)
Cs (0.0000, 0.5000, 0.0000)
Cs (0.5000, 0.0000, 0.0000)
La (0.0000, 0.0000, 0.0000)
Cl (0.5000, 0.5000, 0.5000)

***

## CsLaCl4 (PBE)

Data for a geometry-optimized CsLaCl4 structure.

DOS(E_F): 0.00 states/eV/cell
space group: Pnma
formation energy (no corrections): -13.62 eV/f.u.
total DFT energy (no corrections): -4.464 eV per atom

Unit cell a=7.9695 b=4.4871 c=20.4159 alpha=90.00 beta=90.00 gamma=90.00
Fractional coordinates of all 24 atoms:
Cs (0.2237, 0.2500, 0.2017)
Cs (0.2763, 0.7500, 0.7017)
Cs (0.7237, 0.2500, 0.2983)
Cs (0.7763, 0.7500, 0.7983)
La (0.2494, 0.2500, 0.9441)
La (0.2506, 0.7500, 0.4441)
La (0.7494, 0.2500, 0.5559)
La (0.7506, 0.7500, 0.0559)
Cl (0.0039, 0.2500, 0.0578)
Cl (0.1009, 0.2500, 0.8154)
Cl (0.1061, 0.2500, 0.3721)
Cl (0.1394, 0.2500, 0.5369)
Cl (0.3606, 0.7500, 0.0369)
Cl (0.3939, 0.7500, 0.8721)
Cl (0.3991, 0.7500, 0.3154)
Cl (0.4961, 0.7500, 0.5578)
Cl (0.5039, 0.2500, 0.4422)
Cl (0.6009, 0.2500, 0.6846)
Cl (0.6061, 0.2500, 0.1279)
Cl (0.6394, 0.2500, 0.9631)
Cl (0.8606, 0.7500, 0.4631)
Cl (0.8939, 0.7500, 0.6279)
Cl (0.8991, 0.7500, 0.1846)
Cl (0.9961, 0.7500, 0.9422)